No. 1
A plane-wave DFT calculation with PBE-GGA was carried out for ZnAgBr3 after structural relaxation. Values from VASP.

```
&SYSTEM
  ibrav = 0, nat = 5, ntyp = 3
/
ATOMIC_SPECIES
Zn 65.41 Zn.upf
Br 79.90 Br.upf
Ag 107.87 Ag.upf
CELL_PARAMETERS angstrom
-3.774 0.913 -3.627
2.141 -3.697 -3.158
-3.066 -3.705 2.258
ATOMIC_POSITIONS angstrom
Zn -2.350 -3.245 -2.263
Br 1.070 -1.849 -1.579
Br -1.533 -1.852 1.129
Br -1.887 0.456 -1.813
Ag 0.000 0.000 0.000
```

Values from the calculation:
- N(E_F): 3.62 states/eV/f.u.
- Size of the total moment: 0.6 μB per cell
- Energy above the most stable polymorph in this dataset: 0.708 eV/atom

No. 2
A plane-wave DFT calculation with PBE-GGA was carried out for AlInPb2 after structural relaxation. Values from VASP.

```
&SYSTEM
  ibrav = 0, nat = 4, ntyp = 3
/
ATOMIC_SPECIES
Pb 207.20 Pb.upf
Al 26.98 Al.upf
In 114.82 In.upf
CELL_PARAMETERS angstrom
5.832 -0.201 0.000
-1.710 5.579 0.000
0.000 0.000 3.414
ATOMIC_POSITIONS angstrom
Pb 0.000 0.000 0.000
Pb 2.061 2.689 0.000
Al 2.916 -0.101 1.707
In -0.855 2.790 1.707
```

Values from the calculation:
- N(E_F): 2.13 states/eV/f.u.
- Energy of formation from the pure elements: 0.7 eV/f.u.
- Size of the total moment: 0.0 μB per cell
- Energy above the most stable polymorph in this dataset: 0.054 eV/atom

No. 3
A plane-wave DFT calculation with PBE-GGA was carried out for CdNiPCl2 after structural relaxation. Values from VASP.

```
&SYSTEM
  ibrav = 0, nat = 5, ntyp = 4
/
ATOMIC_SPECIES
Ni 58.69 Ni.upf
Cl 35.45 Cl.upf
P 30.97 P.upf
Cd 112.41 Cd.upf
CELL_PARAMETERS angstrom
5.007 0.000 0.000
0.000 5.007 0.000
0.000 0.000 5.317
ATOMIC_POSITIONS angstrom
Ni 2.503 2.503 2.658
Cl 0.000 2.503 0.000
Cl 2.503 0.000 0.000
P 0.000 0.000 2.658
Cd 0.000 0.000 0.000
```

Values from the calculation:
- N(E_F): 6.71 states/eV/f.u.
- Size of the total moment: 1.3 μB per cell
- Energy above the most stable polymorph in this dataset: 0.709 eV/atom

Question: Which value of energy above the most stable polymorph in this dataset does entry 1 give?
Answer: 0.708 eV/atom

Question: The highest size of the total moment belongs to which entry?
Answer: CdNiPCl2

Question: The highest size of the total moment belongs to which entry?
Answer: CdNiPCl2

Question: Which of these has the lowest energy above the most stable polymorph in this dataset?
Answer: AlInPb2